No. 1
SrCo2Hg: relaxed, GGA-PBE.

Values from the calculation:
total moment	0.598	μB/atom
formation energy	0.1775	eV per atom

a b c (Å): 8.2709 4.1823 5.8775
angles (deg): 90.00 116.26 90.00
With the nearest neighbours (Å) after each atom.
Space group C2/m (No. 12)
Asymmetric unit:
Sr  0.0000  0.0000  0.0000 [2 per cell]  2 Co 2.90
Co  0.2032  0.0000  0.5472 [4 per cell]  2 Co 2.38, 3 Hg 2.59-2.62
Hg  0.0000  0.5000  0.5000 [2 per cell]  6 Co 2.59-2.62

No. 2
SrCoHg2: relaxed, GGA-PBE.

Values from the calculation:
total moment	0.326	μB/atom
formation energy	0.0975	eV per atom

a b c (Å): 3.5702 3.5702 7.1800
angles (deg): 90.00 90.00 90.00
With the nearest neighbours (Å) after each atom.
Space group P4/mmm (No. 123)
Asymmetric unit:
Sr  0.0000  0.0000  0.0000 [1 per cell]  8 Hg 3.32, 4 Sr 3.57, 2 Co 3.59
Co  0.0000  0.0000  0.5000 [1 per cell]  8 Hg 2.90
Hg  0.5000  0.5000  0.3011 [2 per cell]  1 Hg 2.86, 4 Co 2.90

No. 3
SrCoHg2: relaxed, GGA-PBE.

Values from the calculation:
total moment	0.340	μB/atom
formation energy	0.3639	eV per atom

a b c (Å): 6.1246 10.2489 3.6032
angles (deg): 90.00 117.67 90.00
With the nearest neighbours (Å) after each atom.
Space group C2/m (No. 12)
Asymmetric unit:
Sr  0.0000  0.0000  0.0000 [2 per cell]  2 Co 3.06, 4 Hg 3.10
Co  0.0000  0.5000  0.0000 [2 per cell]  2 Sr 3.06, 4 Hg 3.10
Hg  0.2500  0.2500  0.5000 [4 per cell]  2 Hg 3.06, 2 Co 3.10, 2 Sr 3.10

No. 4
SrCo2Hg: relaxed, GGA-PBE.

Values from the calculation:
total moment	0.482	μB/atom
formation energy	0.6248	eV per atom

a b c (Å): 4.3616 4.3616 3.9890
angles (deg): 90.00 90.00 90.00
With the nearest neighbours (Å) after each atom.
Space group P4/mmm (No. 123)
Asymmetric unit:
Sr  0.0000  0.0000  0.0000 [1 per cell]  8 Co 2.96, 4 Hg 3.08
Co  0.0000  0.5000  0.5000 [2 per cell]  4 Hg 2.96, 4 Sr 2.96, 4 Co 3.08
Hg  0.5000  0.5000  0.0000 [1 per cell]  8 Co 2.96, 4 Sr 3.08

No. 5
SrCoHg2: relaxed, GGA-PBE.

Values from the calculation:
total moment	0.252	μB/atom
formation energy	0.0354	eV per atom

a b c (Å): 7.9444 4.5898 6.1769
angles (deg): 90.00 115.44 90.00
With the nearest neighbours (Å) after each atom.
Space group Cm (No. 8)
Asymmetric unit:
Sr  0.0000  0.0000  0.0000 [2 per cell]  4 Co 3.19-3.57, 7 Hg 3.33-3.46
Co  0.1905  0.0000  0.5722 [2 per cell]  6 Hg 2.67-2.86
Hg  0.0454  0.5000  0.6365 [2 per cell]  3 Co 2.67
Hg  0.2932  0.5000  0.3799 [2 per cell]  3 Co 2.85-2.86, 3 Hg 3.01

No. 6
SrCo2Hg: relaxed, GGA-PBE.

Values from the calculation:
total moment	0.812	μB/atom
formation energy	0.5960	eV per atom

a b c (Å): 6.8698 6.8698 6.8698
angles (deg): 90.00 90.00 90.00
With the nearest neighbours (Å) after each atom.
Space group F-43m (No. 216)
Asymmetric unit:
Sr  0.0000  0.0000  0.0000 [4 per cell]  4 Hg 2.97, 4 Co 2.97
Co  0.0000  0.0000  0.5000 [4 per cell]  4 Hg 2.97, 4 Co 2.97
Co  0.2500  0.2500  0.2500 [4 per cell]  4 Co 2.97, 4 Sr 2.97
Hg  0.2500  0.2500  0.7500 [4 per cell]  4 Co 2.97, 4 Sr 2.97

No. 7
SrCoHg2: relaxed, GGA-PBE.

Values from the calculation:
total moment	0.251	μB/atom
formation energy	0.1289	eV per atom

a b c (Å): 4.3508 4.1714 5.9684
angles (deg): 90.00 111.09 90.00
With the nearest neighbours (Å) after each atom.
Space group Pm (No. 6)
Asymmetric unit:
Sr  0.0000  0.0000  0.0000 [1 per cell]  4 Co 3.13, 3 Hg 3.18-3.23
Co  0.4259  0.5000  0.8492 [1 per cell]  3 Hg 2.60-2.69
Hg  0.2877  0.0000  0.5704 [1 per cell]  2 Co 2.60
Hg  0.6640  0.5000  0.3325 [1 per cell]  1 Co 2.69

No. 8
SrCo2Hg: relaxed, GGA-PBE.

Values from the calculation:
total moment	0.723	μB/atom
formation energy	0.1003	eV per atom

a b c (Å): 4.1945 4.1945 17.2155
angles (deg): 90.00 90.00 120.00
With the nearest neighbours (Å) after each atom.
Space group R3m (No. 160, hexagonal axes)
Asymmetric unit:
Sr  0.0000  0.0000  0.0000 [3 per cell]  7 Co 3.29-3.52, 4 Hg 3.36-3.41
Co  0.0000  0.0000  0.2042 [3 per cell]  3 Co 2.42, 3 Hg 2.69
Co  0.0000  0.0000  0.5359 [3 per cell]  3 Co 2.42, 3 Hg 2.68
Hg  0.0000  0.0000  0.8022 [3 per cell]  6 Co 2.68-2.69

Q: Look up the formation energy of the third one.
A: 0.3639 eV per atom

Q: Among the records above, which one has the lowest formation energy?
A: number 5

Q: What is the formation energy in the second record?
A: 0.0975 eV per atom